12
Lattice="-3.2209 0.3519 5.2940 -3.7519 -4.6556 1.6653 5.1627 -5.7366 7.1609" Properties=species:S:1:pos:R:3 comment="RbErBe2Cl8 (PBE-GGA, relaxed)" formation_energy_uncorrected_kj_per_mol_fu=-2074 dos_ef_per_ev_atom=0.000 mass_density_g_cm3=2.787 energy_ev_per_atom=-4.104 total_magnetization_mub_per_cell=0.00 pbc="T T T"
Rb -0.9051 -5.0201 7.0601
Er 0.0000 0.0000 0.0000
Be -0.5927 -2.4295 3.4394
Be -1.2174 -7.6107 10.6807
Cl 0.8819 -3.2768 4.3929
Cl -2.1375 -1.9906 4.7472
Cl -2.6920 -6.7634 9.7273
Cl -4.5356 -3.3388 7.2578
Cl 2.7255 -6.7014 6.8624
Cl -3.7104 -5.3247 4.2169
Cl 1.9003 -4.7155 9.9033
Cl 0.3274 -8.0497 9.3730

6
Lattice="-3.8507 1.2390 -2.8497 0.7793 -3.2764 -4.6475 1.3071 -6.7378 0.8646" Properties=species:S:1:pos:R:3 comment="BeClF (PBE-GGA, relaxed)" formation_energy_uncorrected_kj_per_mol_fu=-653 dos_ef_per_ev_atom=0.000 mass_density_g_cm3=1.674 polymorph_energy_ev_per_atom=0.039 energy_ev_per_atom=-4.738 total_magnetization_mub_per_cell=0.00 pbc="T T T"
Be 0.6661 -7.1582 -3.6020
Be -2.4303 -1.6170 -3.0307
Cl -0.9968 -6.4083 -2.7166
Cl -0.7674 -2.3669 -3.9160
F -1.8219 -5.1752 -6.1266
F 0.0577 -3.6001 -0.5061

5
Lattice="-2.0445 3.7212 0.7283 -3.3670 -1.4011 -2.2931 -1.7439 -1.6575 3.5734" Properties=species:S:1:pos:R:3 comment="Be3ClF (PBE-GGA, relaxed)" formation_energy_uncorrected_kj_per_mol_fu=570 dos_ef_per_ev_atom=0.640 mass_density_g_cm3=1.693 polymorph_energy_ev_per_atom=0.518 energy_ev_per_atom=-1.797 total_magnetization_mub_per_cell=0.00 pbc="T T T"
Be -1.6835 -0.7006 -1.1465
Be -0.8720 -0.8288 1.7867
Be -1.0223 1.8606 0.3642
F -3.5777 0.3313 1.0043
Cl 0.0000 0.0000 0.0000

4
Lattice="0.0000 3.0172 3.0172 3.0172 0.0000 3.0172 3.0172 3.0172 0.0000" Properties=species:S:1:pos:R:3 comment="BeCl2F (PBE-GGA, relaxed)" formation_energy_uncorrected_kj_per_mol_fu=-31 dos_ef_per_ev_atom=1.418 mass_density_g_cm3=2.990 polymorph_energy_ev_per_atom=0.756 energy_ev_per_atom=-2.403 total_magnetization_mub_per_cell=0.00 pbc="T T T"
Be 0.0000 0.0000 0.0000
F 3.0172 3.0172 3.0172
Cl 1.5086 1.5086 1.5086
Cl 4.5258 4.5258 4.5258

9
Lattice="5.4960 0.0000 0.0000 -2.7480 4.7596 0.0000 0.0000 0.0000 5.8028" Properties=species:S:1:pos:R:3 comment="BeClF (PBE-GGA, relaxed)" formation_energy_uncorrected_kj_per_mol_fu=-664 dos_ef_per_ev_atom=0.000 mass_density_g_cm3=2.083 polymorph_energy_ev_per_atom=0.000 energy_ev_per_atom=-4.777 total_magnetization_mub_per_cell=0.00 pbc="T T T"
Be -1.0629 2.3666 2.0072
Be 1.2299 2.6558 0.0729
Be -0.1670 4.4968 3.9415
Cl 1.2106 1.1601 4.4566
Cl 3.1474 3.1312 0.5880
Cl 3.8860 0.4683 2.5223
F -0.9527 3.3482 3.2076
F 0.3247 2.2605 1.2734
F 0.6279 3.9106 5.1419

4
Lattice="1.9051 0.0000 7.1461 -0.9525 1.6499 7.1461 -0.9525 -1.6499 7.1461" Properties=species:S:1:pos:R:3 comment="BeCl2F (PBE-GGA, relaxed)" formation_energy_uncorrected_kj_per_mol_fu=-275 dos_ef_per_ev_atom=0.000 mass_density_g_cm3=2.438 polymorph_energy_ev_per_atom=0.123 energy_ev_per_atom=-3.036 total_magnetization_mub_per_cell=1.00 pbc="T T T"
Be 0.0000 0.0000 10.7192
F 0.0000 0.0000 0.0000
Cl 0.0000 0.0000 19.0932
Cl 0.0000 0.0000 2.3452

5
Lattice="4.4468 0.0000 0.0000 0.0000 4.4468 0.0000 0.0000 0.0000 4.4468" Properties=species:S:1:pos:R:3 comment="BeCl3F (PBE-GGA, relaxed)" formation_energy_uncorrected_kj_per_mol_fu=-135 dos_ef_per_ev_atom=1.039 mass_density_g_cm3=2.537 polymorph_energy_ev_per_atom=0.000 energy_ev_per_atom=-2.507 total_magnetization_mub_per_cell=2.00 pbc="T T T"
Be 0.0000 0.0000 0.0000
F 2.2234 2.2234 2.2234
Cl 0.0000 2.2234 0.0000
Cl 0.0000 0.0000 2.2234
Cl 2.2234 0.0000 0.0000

8
Lattice="4.2965 0.0000 0.0000 0.0000 4.2965 0.0000 2.1483 2.1483 5.9549" Properties=species:S:1:pos:R:3 comment="Be2ClF (PBE-GGA, relaxed)" formation_energy_uncorrected_kj_per_mol_fu=-135 dos_ef_per_ev_atom=0.235 mass_density_g_cm3=2.190 polymorph_energy_ev_per_atom=0.000 energy_ev_per_atom=-3.143 total_magnetization_mub_per_cell=0.00 pbc="T T T"
Be 2.7218 1.0741 1.4887
Be 1.5748 3.2224 1.4887
Be 3.2224 3.7230 4.4661
Be 5.3706 4.8700 4.4661
F 2.1483 2.1483 0.0000
F 2.1483 4.2965 2.9774
Cl 0.0000 0.0000 0.0000
Cl 4.2965 2.1483 2.9774

3
Lattice="4.9568 0.0000 0.0000 0.0000 4.9568 0.0000 -2.4784 -2.4784 3.1642" Properties=species:S:1:pos:R:3 comment="BeClF (PBE-GGA, relaxed)" formation_energy_uncorrected_kj_per_mol_fu=-538 dos_ef_per_ev_atom=0.000 mass_density_g_cm3=1.356 polymorph_energy_ev_per_atom=0.436 energy_ev_per_atom=-4.340 total_magnetization_mub_per_cell=0.10 pbc="T T T"
Be 2.4784 2.4784 0.8824
F 2.4784 2.4784 2.2630
Cl 0.0000 0.0000 2.2337

5
Lattice="4.6169 0.0000 0.0000 0.0000 4.6169 0.0000 0.0000 0.0000 4.6169" Properties=species:S:1:pos:R:3 comment="BeCl3F (PBE-GGA, relaxed)" formation_energy_uncorrected_kj_per_mol_fu=334 dos_ef_per_ev_atom=0.562 mass_density_g_cm3=2.267 polymorph_energy_ev_per_atom=0.971 energy_ev_per_atom=-1.536 total_magnetization_mub_per_cell=0.00 pbc="T T T"
Be 2.3085 2.3085 2.3085
F 0.0000 0.0000 0.0000
Cl 0.0000 2.3085 0.0000
Cl 0.0000 0.0000 2.3085
Cl 2.3085 0.0000 0.0000

8
Lattice="5.8894 0.0000 0.0000 0.0000 5.8894 0.0000 2.9447 2.9447 4.3362" Properties=species:S:1:pos:R:3 comment="BeCl2F (PBE-GGA, relaxed)" formation_energy_uncorrected_kj_per_mol_fu=-323 dos_ef_per_ev_atom=1.678 mass_density_g_cm3=2.184 polymorph_energy_ev_per_atom=0.000 energy_ev_per_atom=-3.159 total_magnetization_mub_per_cell=2.00 pbc="T T T"
Be 2.9447 2.9447 0.0000
Be 2.9447 5.8894 2.1681
F 0.0000 0.0000 0.0000
F 5.8894 2.9447 2.1681
Cl 3.8484 1.4724 1.0841
Cl 2.0410 4.4171 1.0841
Cl 4.4171 4.9858 3.2522
Cl 7.3618 6.7931 3.2522

5
Lattice="-0.7440 -1.4632 -3.7822 0.5082 -3.8486 1.3890 -4.0234 -0.2155 0.8749" Properties=species:S:1:pos:R:3 comment="Be3ClF (PBE-GGA, relaxed)" formation_energy_uncorrected_kj_per_mol_fu=321 dos_ef_per_ev_atom=0.544 mass_density_g_cm3=1.931 polymorph_energy_ev_per_atom=0.000 energy_ev_per_atom=-2.315 total_magnetization_mub_per_cell=0.00 pbc="T T T"
Be 0.2541 -1.9243 0.6945
Be -2.0117 -0.1077 0.4374
Be -0.3720 -0.7316 -1.8911
F 0.0000 0.0000 0.0000
Cl -2.1296 -2.7637 -0.7592

4
Lattice="0.0000 2.9173 2.9173 2.9173 0.0000 2.9173 2.9173 2.9173 0.0000" Properties=species:S:1:pos:R:3 comment="Be2ClF (PBE-GGA, relaxed)" formation_energy_uncorrected_kj_per_mol_fu=92 dos_ef_per_ev_atom=0.611 mass_density_g_cm3=2.424 polymorph_energy_ev_per_atom=0.589 energy_ev_per_atom=-2.554 total_magnetization_mub_per_cell=0.00 pbc="T T T"
Be 1.4587 1.4587 1.4587
Be 4.3760 4.3760 4.3760
F 0.0000 0.0000 0.0000
Cl 2.9173 2.9173 2.9173

5
Lattice="-0.8727 2.2205 -2.5901 -0.2497 -2.7079 -2.2373 -4.8687 -0.5306 1.1856" Properties=species:S:1:pos:R:3 comment="BeN2ClF (PBE-GGA, relaxed)" formation_energy_uncorrected_kj_per_mol_fu=926 dos_ef_per_ev_atom=0.402 mass_density_g_cm3=2.431 polymorph_energy_ev_per_atom=1.038 energy_ev_per_atom=-2.899 total_magnetization_mub_per_cell=0.53 pbc="T T T"
Be -2.9956 -0.5090 -1.8209
N -0.1249 -1.3540 -1.1187
N -0.4364 1.1102 -1.2950
F -2.4343 -0.2653 0.5928
Cl 0.0000 0.0000 0.0000

5
Lattice="3.9156 0.0000 0.0000 0.0000 3.9156 0.0000 0.0000 0.0000 3.3046" Properties=species:S:1:pos:R:3 comment="BeN2ClF (PBE-GGA, relaxed)" formation_energy_uncorrected_kj_per_mol_fu=426 dos_ef_per_ev_atom=0.323 mass_density_g_cm3=2.998 polymorph_energy_ev_per_atom=0.000 energy_ev_per_atom=-3.936 total_magnetization_mub_per_cell=2.44 pbc="T T T"
Be 0.0000 0.0000 0.0000
N 0.0000 1.9578 0.0000
N 1.9578 0.0000 0.0000
F 0.0000 0.0000 1.6523
Cl 1.9578 1.9578 1.6523

5
Lattice="-1.4660 -2.5840 2.8740 -4.3345 -4.5254 -6.2798 3.2952 -2.4419 -0.5147" Properties=species:S:1:pos:R:3 comment="NaBeCl2F (PBE-GGA, relaxed)" formation_energy_uncorrected_kj_per_mol_fu=-576 dos_ef_per_ev_atom=0.000 mass_density_g_cm3=1.335 energy_ev_per_atom=-3.316 total_magnetization_mub_per_cell=0.00 pbc="T T T"
Na -2.1672 -2.2627 -3.1399
F -1.2526 -4.7756 -1.9603
Be 0.0000 0.0000 0.0000
Cl 1.6476 -1.2210 -0.2574
Cl -0.7330 -1.2920 1.4370

10
Lattice="4.8465 0.0000 0.0000 0.0000 5.5434 0.0000 0.0000 -2.7717 5.5440" Properties=species:S:1:pos:R:3 comment="NaBeClF2 (PBE-GGA, relaxed)" formation_energy_uncorrected_kj_per_mol_fu=-1204 dos_ef_per_ev_atom=0.000 mass_density_g_cm3=2.351 energy_ev_per_atom=-4.623 total_magnetization_mub_per_cell=0.00 pbc="T T T"
Na 1.2116 2.7717 1.5144
Na 3.6349 0.0000 4.0296
Be 1.2116 0.0000 0.3747
Be 3.6349 2.7717 5.1692
Cl 3.6349 2.7717 3.0654
Cl 1.2116 0.0000 2.4785
F 2.4232 1.1305 0.0000
F 0.0000 4.4128 0.0000
F 2.4232 4.4128 0.0000
F 0.0000 1.1305 0.0000

5
Lattice="5.2789 0.0000 0.0000 0.0000 2.9719 0.0000 0.0000 0.0000 5.2789" Properties=species:S:1:pos:R:3 comment="BeNbCl2F (PBE-GGA, relaxed)" formation_energy_uncorrected_kj_per_mol_fu=-205 dos_ef_per_ev_atom=0.669 mass_density_g_cm3=3.846 energy_ev_per_atom=-4.298 total_magnetization_mub_per_cell=1.97 pbc="T T T"
Be 0.0000 1.4859 0.0000
Nb 2.6395 1.4859 2.6395
F 0.0000 0.0000 0.0000
Cl 0.0000 0.0000 2.6395
Cl 2.6395 0.0000 0.0000

14
Lattice="-1.2497 5.9259 0.6484 -5.0986 1.2492 -3.0889 -4.5491 -0.0614 4.7617" Properties=species:S:1:pos:R:3 comment="PmBeClF4 (PBE-GGA, relaxed)" formation_energy_uncorrected_kj_per_mol_fu=-2289 dos_ef_per_ev_atom=0.000 mass_density_g_cm3=3.939 energy_ev_per_atom=-5.933 total_magnetization_mub_per_cell=0.00 pbc="T T T"
Pm -5.3879 1.5970 3.5503
Pm -5.5096 5.5166 -1.2291
Be -7.3518 4.4934 1.9484
Be -3.5456 2.6202 0.3727
Cl -1.2320 0.1438 1.0889
Cl -9.6655 6.9699 1.2323
F -4.1424 2.0728 1.6723
F -6.7550 5.0408 0.6489
F -3.3179 1.4316 -0.7224
F -4.3680 3.7685 -0.2174
F -8.9131 4.0618 1.7486
F -1.9843 3.0519 0.5725
F -6.5294 3.3451 2.5385
F -7.5796 5.6821 3.0435

5
Lattice="3.6071 0.0000 0.0000 0.0000 4.9748 0.0000 0.0000 0.0000 3.6071" Properties=species:S:1:pos:R:3 comment="Be2PtClF (PBE-GGA, relaxed)" formation_energy_uncorrected_kj_per_mol_fu=7 dos_ef_per_ev_atom=0.186 mass_density_g_cm3=6.864 energy_ev_per_atom=-3.428 total_magnetization_mub_per_cell=0.00 pbc="T T T"
Be 0.0000 0.0000 1.8035
Be 1.8035 0.0000 0.0000
F 0.0000 0.0000 0.0000
Pt 1.8035 2.4874 1.8035
Cl 0.0000 2.4874 0.0000

10
Lattice="-5.8228 -1.7071 4.2723 0.8322 -7.1684 -1.7300 0.6016 -5.0388 5.2519" Properties=species:S:1:pos:R:3 comment="Rb2BeCl6F (PBE-GGA, relaxed)" formation_energy_uncorrected_kj_per_mol_fu=-1033 dos_ef_per_ev_atom=0.000 mass_density_g_cm3=2.444 energy_ev_per_atom=-2.932 total_magnetization_mub_per_cell=1.00 pbc="T T T"
Be -2.4953 -4.4377 1.2712
F 0.0000 0.0000 0.0000
Rb -3.8582 -5.5918 5.3977
Rb -0.5307 -8.3225 2.3965
Cl -0.6456 -4.7968 3.6487
Cl -3.7433 -9.1176 4.1455
Cl -1.5054 -2.6773 0.7669
Cl -3.4852 -6.1982 1.7755
Cl -3.8153 -3.3545 2.4617
Cl -1.1752 -5.5210 0.0806

5
Lattice="-2.8668 -1.3259 -2.7378 -0.0464 -4.5032 2.2294 -3.0418 1.2971 2.5568" Properties=species:S:1:pos:R:3 comment="BeSiCl2F (PBE-GGA, relaxed)" formation_energy_uncorrected_kj_per_mol_fu=-130 dos_ef_per_ev_atom=0.401 mass_density_g_cm3=2.402 energy_ev_per_atom=-3.212 total_magnetization_mub_per_cell=0.00 pbc="T T T"
Be 0.0000 0.0000 0.0000
Si -0.0232 -2.2516 1.1147
F -2.9774 -2.2660 1.0242
Cl -1.5209 0.6486 1.2784
Cl -1.4334 -0.6630 -1.3689

5
Lattice="5.2505 0.0000 0.0000 0.0000 4.1312 0.0000 0.0000 0.0000 5.2505" Properties=species:S:1:pos:R:3 comment="BeTeCl2F (PBE-GGA, relaxed)" formation_energy_uncorrected_kj_per_mol_fu=148 dos_ef_per_ev_atom=0.889 mass_density_g_cm3=3.303 energy_ev_per_atom=-2.180 total_magnetization_mub_per_cell=0.00 pbc="T T T"
Be 2.6253 2.0656 2.6253
F 0.0000 0.0000 0.0000
Te 0.0000 2.0656 0.0000
Cl 0.0000 0.0000 2.6253
Cl 2.6253 0.0000 0.0000

5
Lattice="4.3756 0.0000 0.0000 0.0000 4.8763 0.0000 0.0000 0.0000 4.3756" Properties=species:S:1:pos:R:3 comment="Zr2BeClF (PBE-GGA, relaxed)" formation_energy_uncorrected_kj_per_mol_fu=-146 dos_ef_per_ev_atom=0.798 mass_density_g_cm3=4.374 energy_ev_per_atom=-5.211 total_magnetization_mub_per_cell=0.00 pbc="T T T"
Be 2.1878 2.4381 2.1878
F 0.0000 0.0000 0.0000
Zr 0.0000 0.0000 2.1878
Zr 2.1878 0.0000 0.0000
Cl 0.0000 2.4381 0.0000

4
Lattice="0.0000 2.9034 2.9034 2.9034 0.0000 2.9034 2.9034 2.9034 0.0000" Properties=species:S:1:pos:R:3 comment="Be2FeCl (PBE-GGA, relaxed)" formation_energy_uncorrected_kj_per_mol_fu=395 dos_ef_per_ev_atom=0.673 mass_density_g_cm3=3.709 polymorph_energy_ev_per_atom=0.911 energy_ev_per_atom=-3.417 total_magnetization_mub_per_cell=1.64 pbc="T T T"
Be 1.4517 1.4517 1.4517
Be 4.3551 4.3551 4.3551
Fe 2.9034 2.9034 2.9034
Cl 0.0000 0.0000 0.0000

4
Lattice="6.7538 1.0863 -0.9271 5.5142 4.0481 -0.9271 1.2658 0.5298 3.2437" Properties=species:S:1:pos:R:3 comment="BeFeCl2 (PBE-GGA, relaxed)" formation_energy_uncorrected_kj_per_mol_fu=-94 dos_ef_per_ev_atom=0.597 mass_density_g_cm3=3.074 polymorph_energy_ev_per_atom=0.078 energy_ev_per_atom=-4.213 total_magnetization_mub_per_cell=2.25 pbc="T T T"
Be 3.3834 1.4160 0.3474
Fe 10.1503 4.2481 1.0422
Cl 10.8984 4.5613 -1.2171
Cl 8.1364 3.4053 0.0577

4
Lattice="-0.4328 2.9533 0.9350 0.5300 -0.8043 2.7857 6.2658 1.6399 -2.2796" Properties=species:S:1:pos:R:3 comment="Be2FeCl (PBE-GGA, relaxed)" formation_energy_uncorrected_kj_per_mol_fu=51 dos_ef_per_ev_atom=0.418 mass_density_g_cm3=2.936 polymorph_energy_ev_per_atom=0.020 energy_ev_per_atom=-4.308 total_magnetization_mub_per_cell=1.34 pbc="T T T"
Be 6.0838 1.4351 -1.7171
Be 1.2560 1.5869 0.8010
Fe 5.9536 2.4759 0.1671
Cl 2.7334 0.3487 0.1637